# 1
DFT (PBE+U) results for crystalline Mn2BiAsO8 at its relaxed geometry. Values from VASP.

Computed properties:
Uncorrected energy, eV/atom: -6.433

```
&SYSTEM
  ibrav = 0, nat = 12, ntyp = 4
/
ATOMIC_SPECIES
Mn 54.94 Mn.upf
Bi 208.98 Bi.upf
As 74.92 As.upf
O 16.00 O.upf
CELL_PARAMETERS angstrom
3.2561 -3.3089 0.0000
3.2561 3.3089 0.0000
0.0000 0.0000 6.3581
ATOMIC_POSITIONS angstrom
Mn 0.0000 0.0000 1.4945
Mn 0.0000 0.0000 4.8636
Bi 3.2561 0.0000 3.1791
As 3.2561 0.0000 0.0000
O 1.1396 0.0000 3.1791
O 1.3612 0.0000 0.0000
O 3.2561 1.2833 1.3886
O 3.2561 1.2833 4.9695
O 3.2561 -1.2833 1.3886
O 3.2561 -1.2833 4.9695
O 5.1509 0.0000 0.0000
O 5.3725 0.0000 3.1791
```

# 2
DFT (PBE+U) results for crystalline MnBiAs2O6 at its relaxed geometry. Values from VASP.

Computed properties:
Uncorrected energy, eV/atom: -6.269

```
&SYSTEM
  ibrav = 0, nat = 20, ntyp = 4
/
ATOMIC_SPECIES
Mn 54.94 Mn.upf
Bi 208.98 Bi.upf
As 74.92 As.upf
O 16.00 O.upf
CELL_PARAMETERS angstrom
4.8072 -6.7502 0.0000
4.8072 6.7502 0.0000
-4.3155 0.0000 5.0384
ATOMIC_POSITIONS angstrom
Mn 1.5706 4.5270 3.7788
Mn 3.7283 -4.5270 1.2596
Bi 3.7283 5.7540 1.2596
Bi 1.5706 -5.7540 3.7788
As 2.6221 1.6680 2.1763
As 4.8345 1.6680 0.3429
As 0.4644 -1.6680 4.6955
As 2.6768 -1.6680 2.8621
O 0.2268 0.8796 1.0375
O -1.9309 -0.8796 3.5567
O 2.3142 3.3860 2.4152
O 2.9110 1.6756 0.3460
O 5.1424 3.3860 0.1040
O 0.7532 -1.6756 2.8652
O 4.5457 1.6756 2.1732
O 0.1565 -3.3860 4.9345
O 2.3880 -1.6756 4.6924
O 2.9847 -3.3860 2.6232
O 7.2298 0.8796 1.4818
O 5.0721 -0.8796 4.0010
```